# Li5Mg3Pb4

Li5Mg3Pb4 after structural relaxation (PBE-GGA, Alexandria).

Cell: 6.1145 8.5223 7.7410 Å, 112.85 50.00 117.34°
With the nearest neighbours (Å) after each atom.
Element x y z (fractional)
Pb 0.9399 0.1908 0.6655  4 Li 2.94-3.07, 3 Mg 3.07-3.14
Pb 0.7830 0.2144 0.1893  5 Li 2.93-3.16, 4 Mg 3.14-3.21
Pb 0.0601 0.8092 0.3345  4 Li 2.94-3.07, 3 Mg 3.07-3.14
Pb 0.2170 0.7856 0.8107  5 Li 2.93-3.16, 4 Mg 3.14-3.21
Mg 0.0000 0.5000 0.5000  4 Li 3.06-3.28, 4 Pb 3.14-3.17, 2 Mg 3.30
Mg 0.3870 0.1615 0.7069  3 Li 3.02-3.29, 5 Pb 3.07-3.21, 2 Mg 3.27-3.30
Mg 0.6130 0.8385 0.2931  3 Li 3.02-3.29, 5 Pb 3.07-3.21, 2 Mg 3.27-3.30
Li 0.7069 0.4791 0.0277  4 Li 2.87-3.18, 2 Pb 2.93-2.94, 1 Mg 3.02
Li 0.7320 0.8626 0.8542  1 Li 2.87, 5 Pb 3.02-3.16, 1 Mg 3.06
Li 0.2931 0.5209 0.9723  4 Li 2.87-3.18, 2 Pb 2.93-2.94, 1 Mg 3.02
Li 0.5000 0.5000 0.5000  4 Pb 2.95-3.00, 2 Li 2.96, 2 Mg 3.06
Li 0.2680 0.1374 0.1458  1 Li 2.87, 5 Pb 3.02-3.16, 1 Mg 3.06

Values from the calculation:
- ΔE_f (kJ/mol of formula units) = -188
- DFT total energy (eV/atom) = -2.59